No. 1
## Li2ZnBr4 (PBE)

Data for a geometry-optimized Li2ZnBr4 structure.

**Density of states at the Fermi level**: 0.00 states/eV per cell
**Calculated volume**: 204 Å³/cell
**Raw formation energy**: -1260 meV per atom

a = 6.0697 Å, b = 6.0697 Å, c = 7.0063 Å
α = 115.67°, β = 115.67°, γ = 90.00°
Atoms (fractional coordinates):
Li 0.2500 0.7500 0.5000
Br 0.1402 0.1402 0.7533
Br 0.3869 0.8598 0.2467
Zn 0.5000 0.5000 0.0000
Br 0.8598 0.3869 0.2467
Br 0.6131 0.6131 0.7533
Li 0.7500 0.2500 0.5000



No. 2
## Li2ZnBr4 (PBE)

Data for a geometry-optimized Li2ZnBr4 structure.

**Density of states at the Fermi level**: 0.00 states/eV per cell
**Calculated volume**: 715 Å³/cell
**Raw formation energy**: -1245 meV per atom

a = 6.5307 Å, b = 7.9593 Å, c = 13.7580 Å
α = 90.00°, β = 90.00°, γ = 90.00°
Atoms (fractional coordinates):
Br 0.2791 0.7500 0.5892
Li 0.0013 0.2500 0.7340
Li 0.4987 0.2500 0.2340
Zn 0.9104 0.7500 0.5871
Br 0.7481 0.9917 0.6661
Zn 0.0896 0.2500 0.4129
Br 0.7496 0.7500 0.4254
Br 0.7791 0.2500 0.9108
Br 0.7519 0.5083 0.1661
Br 0.2519 0.4917 0.3339
Br 0.2209 0.7500 0.0892
Li 0.9987 0.7500 0.2660
Br 0.2519 0.0083 0.3339
Li 0.0000 0.0000 0.0000
Br 0.7481 0.5083 0.6661
Zn 0.4104 0.2500 0.9129
Br 0.7519 0.9917 0.1661
Br 0.2504 0.2500 0.5746
Br 0.2481 0.4917 0.8339
Br 0.7504 0.7500 0.9254
Br 0.7209 0.2500 0.4108
Br 0.2496 0.2500 0.0746
Li 0.0000 0.5000 0.0000
Li 0.5013 0.7500 0.7660
Li 0.5000 0.5000 0.5000
Zn 0.5896 0.7500 0.0871
Br 0.2481 0.0083 0.8339
Li 0.5000 0.0000 0.5000



No. 3
## Li2ZrBr (PBE)

Data for a geometry-optimized Li2ZrBr structure.

**Density of states at the Fermi level**: 3.05 states/eV per cell
**Calculated volume**: 78 Å³/cell
**Raw formation energy**: 82 meV per atom

a = 4.9052 Å, b = 3.9766 Å, c = 3.9766 Å
α = 90.00°, β = 90.00°, γ = 90.00°
Atoms (fractional coordinates):
Li 0.0000 0.0000 0.0000
Zr 0.5000 0.5000 0.0000
Li 0.0000 0.5000 0.5000
Br 0.5000 0.0000 0.5000



No. 4
## Li2ZrBr (PBE)

Data for a geometry-optimized Li2ZrBr structure.

**Density of states at the Fermi level**: 3.38 states/eV per cell
**Calculated volume**: 92 Å³/cell
**Raw formation energy**: 453 meV per atom

a = 5.0600 Å, b = 5.0600 Å, c = 5.0600 Å
α = 60.00°, β = 60.00°, γ = 60.00°
Each line ends with the local moment (μB).
Atoms (fractional coordinates):
Li 0.7500 0.7500 0.7500  0.09
Zr 0.5000 0.5000 0.5000  1.66
Li 0.2500 0.2500 0.2500  0.09
Br 0.0000 0.0000 0.0000  0.10